# 1
# Ga6Pt8Rh

A relaxed Ga6Pt8Rh crystal (PBE-GGA, Alexandria via LeMat-Bulk).

## Properties
D(E_F) (states/eV per cell): 6.4
Energy of formation from the pure elements (meV/atom): -530

Unit cell a=7.317 b=7.317 c=6.739 alpha=57.12 beta=57.12 gamma=60.00
Atoms (fractional coordinates):
Ga  0.936  0.264  0.191
Pt  0.229  0.891  0.327
Rh  0.000  0.000  0.000
Ga  0.264  0.609  0.191
Ga  0.736  0.391  0.809
Pt  0.447  0.771  0.673
Ga  0.064  0.736  0.809
Ga  0.609  0.936  0.191
Pt  0.771  0.109  0.673
Ga  0.391  0.064  0.809
Pt  0.667  0.667  0.999
Pt  0.891  0.553  0.327
Pt  0.333  0.333  0.001
Pt  0.109  0.447  0.673
Pt  0.553  0.229  0.327


# 2
# ErAl3Ni2

A relaxed ErAl3Ni2 crystal (PBE-GGA, Alexandria via LeMat-Bulk).

## Properties
D(E_F) (states/eV per cell): 9.3
Energy of formation from the pure elements (meV/atom): -591

Unit cell a=3.983 b=8.210 c=9.676 alpha=107.69 beta=90.00 gamma=104.04
Atoms (fractional coordinates):
Al  0.372  0.743  0.797
Ni  0.199  0.398  0.132
Al  0.675  0.351  0.966
Ni  0.801  0.602  0.868
Ni  0.364  0.729  0.551
Er  0.843  0.686  0.296
Al  0.628  0.257  0.203
Al  0.782  0.564  0.604
Er  0.000  0.000  0.000
Al  0.325  0.649  0.034
Al  0.218  0.436  0.396
Er  0.157  0.314  0.704
Ni  0.525  0.050  0.775
Al  0.045  0.091  0.347
Al  0.955  0.909  0.653
Al  0.500  0.000  0.500
Ni  0.636  0.271  0.449
Ni  0.475  0.950  0.225


# 3
# Y7Zn2Ir2

A relaxed Y7Zn2Ir2 crystal (PBE-GGA, Alexandria via LeMat-Bulk).

## Properties
D(E_F) (states/eV per cell): 11.0
Energy of formation from the pure elements (meV/atom): -358

Unit cell a=6.702 b=7.062 c=6.702 alpha=90.00 beta=107.24 gamma=90.00
Atoms (fractional coordinates):
Y  0.500  0.258  0.000
Y  0.500  0.748  0.500
Zn  0.169  0.500  0.169
Y  0.500  0.252  0.500
Y  0.000  0.258  0.500
Ir  0.289  0.000  0.711
Ir  0.711  0.000  0.289
Y  0.000  0.742  0.500
Zn  0.831  0.500  0.831
Y  0.500  0.742  0.000
Y  0.000  0.000  0.000


# 4
# Be2AlO

A relaxed Be2AlO crystal (PBE-GGA, Alexandria via LeMat-Bulk).

## Properties
Energy relative to the elements, uncorrected (eV/atom): -0.703
Energy above the lowest structure with this stoichiometry (eV per atom): 0.000
D(E_F) (states/eV per cell): 3.5

Unit cell a=4.958 b=4.958 c=5.158 alpha=61.28 beta=61.28 gamma=90.00
Atoms (fractional coordinates):
Be  0.262  0.625  0.250
Be  0.488  0.125  0.250
Al  0.750  0.250  0.500
Be  0.375  0.512  0.750
Be  0.875  0.738  0.750
O  0.500  0.500  0.000
Al  0.000  0.000  0.000
O  0.250  0.750  0.500


# 5
# Ti5Tc4Au

A relaxed Ti5Tc4Au crystal (PBE-GGA, Alexandria via LeMat-Bulk).

## Properties
D(E_F) (states/eV per cell): 8.8
Energy of formation from the pure elements (meV/atom): -510

Unit cell a=3.141 b=3.141 c=15.656 alpha=90.00 beta=90.00 gamma=90.00
Atoms (fractional coordinates):
Tc  0.000  0.000  0.401
Ti  0.500  0.500  0.114
Ti  0.500  0.500  0.500
Tc  0.000  0.000  0.799
Tc  0.000  0.000  0.599
Ti  0.500  0.500  0.305
Ti  0.500  0.500  0.695
Au  0.000  0.000  0.000
Ti  0.500  0.500  0.886
Tc  0.000  0.000  0.201


# 6
# Tm5TePd2

A relaxed Tm5TePd2 crystal (PBE-GGA, Alexandria via LeMat-Bulk).

## Properties
Energy relative to the elements, uncorrected (eV/atom): -0.808
D(E_F) (states/eV per cell): 11.0

Unit cell a=7.732 b=7.732 c=8.601 alpha=116.71 beta=116.71 gamma=90.00
Atoms (fractional coordinates):
Tm  0.705  0.205  0.717
Tm  0.013  0.513  0.717
Pd  0.639  0.139  0.000
Te  0.750  0.750  0.500
Tm  0.500  0.500  0.000
Tm  0.795  0.987  0.283
Tm  0.295  0.795  0.283
Tm  0.513  0.705  0.717
Pd  0.361  0.861  0.000
Te  0.250  0.250  0.500
Tm  0.487  0.295  0.283
Tm  0.205  0.013  0.717
Tm  0.000  0.000  0.000
Tm  0.987  0.487  0.283
Pd  0.861  0.639  0.000
Pd  0.139  0.361  0.000


# 7
# LiH4SNO4

A relaxed LiH4SNO4 crystal (PBE-GGA, Alexandria via LeMat-Bulk).

## Properties
Energy above the lowest structure with this stoichiometry (eV per atom): 0.005
D(E_F) (states/eV per cell): 0.0

Unit cell a=5.309 b=8.917 c=9.361 alpha=90.00 beta=90.00 gamma=90.00
Atoms (fractional coordinates):
H  0.920  0.474  0.274
H  0.657  0.907  0.147
O  0.606  0.255  0.045
Li  0.766  0.173  0.592
Li  0.266  0.327  0.092
H  0.657  0.407  0.353
S  0.769  0.791  0.580
O  0.271  0.044  0.394
O  0.532  0.260  0.452
O  0.174  0.287  0.291
O  0.674  0.213  0.791
H  0.713  0.097  0.146
Li  0.766  0.673  0.908
O  0.771  0.956  0.606
H  0.420  0.026  0.774
S  0.269  0.709  0.080
H  0.213  0.403  0.646
S  0.769  0.291  0.920
H  0.420  0.526  0.726
O  0.032  0.240  0.952
O  0.771  0.456  0.894
H  0.133  0.992  0.702
Li  0.266  0.827  0.408
O  0.174  0.787  0.209
N  0.233  0.502  0.705
H  0.633  0.008  0.298
H  0.633  0.508  0.202
N  0.733  0.498  0.295
H  0.213  0.903  0.854
O  0.532  0.760  0.048
S  0.269  0.209  0.420
N  0.733  0.998  0.205
H  0.157  0.093  0.853
H  0.920  0.974  0.226
O  0.106  0.745  0.955
O  0.606  0.755  0.455
O  0.032  0.740  0.548
N  0.233  0.002  0.795
H  0.713  0.597  0.354
O  0.106  0.245  0.545
O  0.674  0.713  0.709
H  0.157  0.593  0.647
H  0.133  0.492  0.798
O  0.271  0.544  0.106


# 8
# Li6Sn4Pb

A relaxed Li6Sn4Pb crystal (PBE-GGA, Alexandria via LeMat-Bulk).

## Properties
D(E_F) (states/eV per cell): 5.1
Energy of formation from the pure elements (meV/atom): -181

Unit cell a=7.476 b=7.476 c=7.476 alpha=80.13 beta=125.85 gamma=125.85
Atoms (fractional coordinates):
Sn  0.666  0.427  0.427
Sn  0.000  0.239  0.573
Sn  0.000  0.573  0.239
Pb  0.000  0.000  0.000
Li  0.507  0.084  0.084
Sn  0.334  0.761  0.761
Li  0.500  0.500  0.000
Li  0.500  0.000  0.500
Li  0.000  0.916  0.424
Li  0.493  0.576  0.576
Li  0.000  0.424  0.916


# 9
# Ba2YB2ClO6

A relaxed Ba2YB2ClO6 crystal (PBE-GGA, Alexandria via LeMat-Bulk).

## Properties
Energy relative to the elements, uncorrected (eV/atom): -2.917
D(E_F) (states/eV per cell): 0.0

Unit cell a=5.355 b=6.480 c=11.532 alpha=84.24 beta=90.00 gamma=90.00
Atoms (fractional coordinates):
Cl  0.250  0.851  0.416
O  0.030  0.677  0.064
B  0.250  0.791  0.073
Ba  0.250  0.342  0.424
O  0.470  0.677  0.064
O  0.250  0.476  0.646
B  0.750  0.378  0.274
B  0.750  0.209  0.927
O  0.028  0.706  0.763
O  0.250  0.992  0.097
Cl  0.750  0.149  0.584
O  0.750  0.008  0.903
O  0.530  0.323  0.936
O  0.528  0.294  0.237
O  0.970  0.323  0.936
O  0.750  0.524  0.354
Ba  0.750  0.906  0.207
Ba  0.750  0.658  0.576
O  0.972  0.294  0.237
B  0.250  0.622  0.726
Y  0.250  0.347  0.087
O  0.472  0.706  0.763
Ba  0.250  0.094  0.793
Y  0.750  0.653  0.913


# 10
# TiN

A relaxed TiN crystal (PBE-GGA, Alexandria via LeMat-Bulk).

## Properties
Energy relative to the elements, uncorrected (eV/atom): -1.627
D(E_F) (states/eV per cell): 2.1

Unit cell a=2.958 b=2.958 c=15.408 alpha=90.00 beta=90.00 gamma=120.00
Atoms (fractional coordinates):
N  0.000  0.000  0.831
Ti  0.333  0.667  0.083
N  0.000  0.000  0.659
N  0.333  0.667  0.498
Ti  0.000  0.000  0.240
N  0.667  0.333  0.993
Ti  0.667  0.333  0.573
Ti  0.667  0.333  0.750
Ti  0.333  0.667  0.907
N  0.333  0.667  0.326
Ti  0.000  0.000  0.417
N  0.667  0.333  0.165


# 11
# Y3Al2In3

A relaxed Y3Al2In3 crystal (PBE-GGA, Alexandria via LeMat-Bulk).

## Properties
D(E_F) (states/eV per cell): 13.4
Energy of formation from the pure elements (meV/atom): -452

Unit cell a=4.534 b=6.068 c=15.502 alpha=90.00 beta=90.00 gamma=111.93
Atoms (fractional coordinates):
Y  0.928  0.856  0.387
Al  0.215  0.430  0.114
In  0.375  0.750  0.250
Y  0.072  0.144  0.613
Al  0.215  0.430  0.386
In  0.625  0.250  0.750
Al  0.785  0.570  0.886
Y  0.072  0.144  0.887
In  0.375  0.750  0.963
In  0.625  0.250  0.463
Y  0.348  0.695  0.750
In  0.625  0.250  0.037
In  0.375  0.750  0.537
Al  0.785  0.570  0.614
Y  0.652  0.305  0.250
Y  0.928  0.856  0.113


# 12
# HoZnGaPt2

A relaxed HoZnGaPt2 crystal (PBE-GGA, Alexandria via LeMat-Bulk).

## Properties
D(E_F) (states/eV per cell): 2.5
Energy of formation from the pure elements (meV/atom): -883

Unit cell a=3.864 b=3.864 c=6.780 alpha=106.56 beta=106.56 gamma=90.00
Atoms (fractional coordinates):
Ga  0.250  0.750  0.500
Pt  0.391  0.391  0.782
Zn  0.750  0.250  0.500
Pt  0.609  0.609  0.218
Ho  0.000  0.000  0.000


# 13
# Sr2TeI

A relaxed Sr2TeI crystal (PBE-GGA, Alexandria via LeMat-Bulk).

## Properties
Energy relative to the elements, uncorrected (eV/atom): -1.185
Energy above the lowest structure with this stoichiometry (eV per atom): 0.239
D(E_F) (states/eV per cell): 5.2

Unit cell a=7.520 b=7.520 c=9.236 alpha=65.98 beta=65.98 gamma=90.00
Each line ends with the local moment (μB).
Atoms (fractional coordinates):
Te  0.250  0.750  0.500  0.00
I  0.000  0.000  0.000  0.01
Sr  0.875  0.856  0.750  0.06
Sr  0.375  0.394  0.750  0.07
Sr  0.144  0.625  0.250  0.06
Sr  0.606  0.125  0.250  0.06
Te  0.500  0.500  0.000  0.00
I  0.750  0.250  0.500  0.01


# 14
# Tl2CuRh

A relaxed Tl2CuRh crystal (PBE-GGA, Alexandria via LeMat-Bulk).

## Properties
Energy above the lowest structure with this stoichiometry (eV per atom): 0.165
D(E_F) (states/eV per cell): 2.7
Energy of formation from the pure elements (meV/atom): 318

Unit cell a=4.689 b=4.689 c=5.557 alpha=79.50 beta=79.50 gamma=40.47
Atoms (fractional coordinates):
Tl  0.501  0.501  0.499
Cu  0.750  0.750  0.750
Tl  0.999  0.999  0.001
Rh  0.250  0.250  0.250


# 15
# YZn2Cu2

A relaxed YZn2Cu2 crystal (PBE-GGA, Alexandria via LeMat-Bulk).

## Properties
Energy above the lowest structure with this stoichiometry (eV per atom): 0.000
D(E_F) (states/eV per cell): 2.7
Energy of formation from the pure elements (meV/atom): -256

Unit cell a=3.942 b=3.942 c=6.192 alpha=71.44 beta=71.44 gamma=90.00
Atoms (fractional coordinates):
Y  0.000  0.000  0.000
Zn  0.250  0.750  0.500
Cu  0.392  0.392  0.217
Cu  0.608  0.608  0.783
Zn  0.750  0.250  0.500


# 16
# AcTh

A relaxed AcTh crystal (PBE-GGA, Alexandria via LeMat-Bulk).

## Properties
Energy above the lowest structure with this stoichiometry (eV per atom): 0.012
D(E_F) (states/eV per cell): 7.3
Energy of formation from the pure elements (meV/atom): 140

Unit cell a=3.732 b=7.731 c=5.252 alpha=90.00 beta=90.00 gamma=90.00
Atoms (fractional coordinates):
Ac  0.250  0.641  0.250
Th  0.250  0.107  0.250
Ac  0.750  0.359  0.750
Th  0.750  0.893  0.750


# 17
# BeAl2Rh4

A relaxed BeAl2Rh4 crystal (PBE-GGA, Alexandria via LeMat-Bulk).

## Properties
D(E_F) (states/eV per cell): 8.6
Energy of formation from the pure elements (meV/atom): -559

Unit cell a=5.015 b=5.015 c=5.015 alpha=108.88 beta=109.77 gamma=109.77
Atoms (fractional coordinates):
Rh  0.000  0.000  0.500
Rh  0.000  0.500  0.000
Al  0.500  0.000  0.500
Rh  0.500  0.000  0.000
Be  0.000  0.000  0.000
Al  0.500  0.500  0.000
Rh  0.500  0.500  0.500


# 18
# CuTcPt2

A relaxed CuTcPt2 crystal (PBE-GGA, Alexandria via LeMat-Bulk).

## Properties
Energy above the lowest structure with this stoichiometry (eV per atom): 0.000
D(E_F) (states/eV per cell): 2.2
Energy of formation from the pure elements (meV/atom): -188

Unit cell a=2.765 b=2.765 c=7.563 alpha=90.00 beta=90.00 gamma=90.00
Atoms (fractional coordinates):
Tc  0.500  0.500  0.250
Pt  0.000  0.000  0.998
Pt  0.000  0.000  0.502
Cu  0.500  0.500  0.750


# 19
# DySN4

A relaxed DySN4 crystal (PBE-GGA, Alexandria via LeMat-Bulk).

## Properties
Energy relative to the elements, uncorrected (eV/atom): -0.547
D(E_F) (states/eV per cell): 3.2

Unit cell a=5.310 b=10.731 c=7.443 alpha=43.87 beta=73.25 gamma=66.43
Each line ends with the local moment (μB).
Atoms (fractional coordinates):
N  0.974  0.698  0.323  0.11
S  0.750  0.377  0.247  0.01
N  0.526  0.979  0.323  0.11
Dy  0.750  0.636  0.729  0.15
N  0.919  0.365  0.764  0.12
N  0.081  0.635  0.236  0.12
N  0.581  0.871  0.764  0.12
N  0.474  0.021  0.677  0.11
S  0.250  0.623  0.753  0.01
N  0.419  0.129  0.236  0.12
Dy  0.250  0.364  0.271  0.15
N  0.026  0.302  0.677  0.11


# 20
# Pm5Pr3Sm2

A relaxed Pm5Pr3Sm2 crystal (PBE-GGA, Alexandria via LeMat-Bulk).

## Properties
D(E_F) (states/eV per cell): 34.9
Energy of formation from the pure elements (meV/atom): 177

Unit cell a=9.811 b=9.792 c=11.331 alpha=126.27 beta=126.31 gamma=68.38
Atoms (fractional coordinates):
Pr  0.982  0.219  0.752
Pr  0.018  0.781  0.248
Pm  0.274  0.524  0.048
Sm  0.466  0.730  0.744
Pm  0.613  0.865  0.256
Pm  0.387  0.135  0.744
Pm  0.726  0.476  0.952
Sm  0.778  0.014  0.744
Pr  0.770  0.020  0.040
Pr  0.230  0.980  0.960
Pr  0.730  0.468  0.248
Pm  0.472  0.722  0.444
Pm  0.528  0.278  0.556
Pr  0.270  0.532  0.752
Pm  0.979  0.229  0.458
Sm  0.534  0.270  0.256
Pm  0.021  0.771  0.542
Sm  0.222  0.986  0.256
Pm  0.857  0.609  0.744
Pm  0.143  0.391  0.256